Arrangement a

DFT (PBE) results for crystalline VPdI3 at its relaxed geometry.

- V (Å³ per cell) = 165.5

Geometry as CIF:
```
data_VPdI3
_chemical_formula_sum 'V1 Pd1 I3'
_symmetry_space_group_name_H-M 'P m -3 m'
_symmetry_Int_Tables_number 221
_symmetry_space_group_name_Hall '-P 4 2 3'
_cell_length_a 5.490
_cell_length_b 5.490
_cell_length_c 5.490
_cell_angle_alpha 90.00
_cell_angle_beta 90.00
_cell_angle_gamma 90.00
loop_
_atom_site_label
_atom_site_fract_x
_atom_site_fract_y
_atom_site_fract_z
_atom_site_occupancy
V1 0.000 0.000 0.000 1
Pd1 0.500 0.500 0.500 1
I1 0.000 0.500 0.500 1
```

***

Arrangement b

DFT (PBE) results for crystalline VPdI3 at its relaxed geometry.

- V (Å³ per cell) = 166.6

Geometry as CIF:
```
data_VPdI3
_chemical_formula_sum 'V1 Pd1 I3'
_symmetry_space_group_name_H-M 'P m -3 m'
_symmetry_Int_Tables_number 221
_symmetry_space_group_name_Hall '-P 4 2 3'
_cell_length_a 5.503
_cell_length_b 5.503
_cell_length_c 5.503
_cell_angle_alpha 90.00
_cell_angle_beta 90.00
_cell_angle_gamma 90.00
loop_
_atom_site_label
_atom_site_fract_x
_atom_site_fract_y
_atom_site_fract_z
_atom_site_occupancy
V1 0.000 0.000 0.000 1
Pd1 0.500 0.500 0.500 1
I1 0.000 0.000 0.500 1
```

***

arrangement b is the most stable structure; the next one sits 11.6 kJ/mol of atoms above it.

***

Arrangement a

DFT (PBE) results for crystalline VPd2I at its relaxed geometry.

- V (Å³ per cell) = 295.9

Geometry as CIF:
```
data_VPd2I
_chemical_formula_sum 'V4 Pd8 I4'
_symmetry_space_group_name_H-M 'F m -3 m'
_symmetry_Int_Tables_number 225
_symmetry_space_group_name_Hall '-F 4 2 3'
_cell_length_a 6.664
_cell_length_b 6.664
_cell_length_c 6.664
_cell_angle_alpha 90.00
_cell_angle_beta 90.00
_cell_angle_gamma 90.00
loop_
_atom_site_label
_atom_site_fract_x
_atom_site_fract_y
_atom_site_fract_z
_atom_site_occupancy
V1 0.000 0.000 0.000 1
Pd1 0.250 0.250 0.250 1
I1 0.000 0.000 0.500 1
```

***

Arrangement b

DFT (PBE) results for crystalline VPd2I at its relaxed geometry.

- V (Å³ per cell) = 381.7

Geometry as CIF:
```
data_VPd2I
_chemical_formula_sum 'V4 Pd8 I4'
_symmetry_space_group_name_H-M 'I -4 2 d'
_symmetry_Int_Tables_number 122
_symmetry_space_group_name_Hall 'I -4 2bw'
_cell_length_a 6.579
_cell_length_b 6.579
_cell_length_c 8.819
_cell_angle_alpha 90.00
_cell_angle_beta 90.00
_cell_angle_gamma 90.00
loop_
_atom_site_label
_atom_site_fract_x
_atom_site_fract_y
_atom_site_fract_z
_atom_site_occupancy
V1 0.000 0.000 0.000 1
Pd1 0.206 0.250 0.125 1
I1 0.000 0.000 0.500 1
```

***

arrangement a is the most stable structure; the next one sits 16.7 kJ/mol of atoms above it.

***

Arrangement a

DFT (PBE) results for crystalline Pd2WI at its relaxed geometry.

- V (Å³ per cell) = 401.6

Geometry as CIF:
```
data_Pd2WI
_chemical_formula_sum 'Pd8 W4 I4'
_symmetry_space_group_name_H-M 'I -4 2 d'
_symmetry_Int_Tables_number 122
_symmetry_space_group_name_Hall 'I -4 2bw'
_cell_length_a 6.628
_cell_length_b 6.628
_cell_length_c 9.140
_cell_angle_alpha 90.00
_cell_angle_beta 90.00
_cell_angle_gamma 90.00
loop_
_atom_site_label
_atom_site_fract_x
_atom_site_fract_y
_atom_site_fract_z
_atom_site_occupancy
Pd1 0.212 0.250 0.125 1
W1 0.000 0.000 0.000 1
I1 0.000 0.000 0.500 1
```

***

Arrangement b

DFT (PBE) results for crystalline Pd2WI at its relaxed geometry.

- V (Å³ per cell) = 296.1

Geometry as CIF:
```
data_Pd2WI
_chemical_formula_sum 'Pd8 W4 I4'
_symmetry_space_group_name_H-M 'F m -3 m'
_symmetry_Int_Tables_number 225
_symmetry_space_group_name_Hall '-F 4 2 3'
_cell_length_a 6.665
_cell_length_b 6.665
_cell_length_c 6.665
_cell_angle_alpha 90.00
_cell_angle_beta 90.00
_cell_angle_gamma 90.00
loop_
_atom_site_label
_atom_site_fract_x
_atom_site_fract_y
_atom_site_fract_z
_atom_site_occupancy
Pd1 0.250 0.250 0.250 1
W1 0.000 0.000 0.000 1
I1 0.000 0.000 0.500 1
```

***

arrangement a is the most stable structure; the next one sits 7.1 kJ/mol of atoms above it.

***

Arrangement a

DFT (PBE) results for crystalline Pd3WI at its relaxed geometry.

- V (Å³ per cell) = 119.2

Geometry as CIF:
```
data_Pd3WI
_chemical_formula_sum 'Pd3 W1 I1'
_symmetry_space_group_name_H-M 'P m -3 m'
_symmetry_Int_Tables_number 221
_symmetry_space_group_name_Hall '-P 4 2 3'
_cell_length_a 4.921
_cell_length_b 4.921
_cell_length_c 4.921
_cell_angle_alpha 90.00
_cell_angle_beta 90.00
_cell_angle_gamma 90.00
loop_
_atom_site_label
_atom_site_fract_x
_atom_site_fract_y
_atom_site_fract_z
_atom_site_occupancy
Pd1 0.000 0.000 0.500 1
W1 0.500 0.500 0.500 1
I1 0.000 0.000 0.000 1
```

***

Arrangement b

DFT (PBE) results for crystalline Pd3WI at its relaxed geometry.

- V (Å³ per cell) = 119.1

Geometry as CIF:
```
data_Pd3WI
_chemical_formula_sum 'Pd3 W1 I1'
_symmetry_space_group_name_H-M 'P m -3 m'
_symmetry_Int_Tables_number 221
_symmetry_space_group_name_Hall '-P 4 2 3'
_cell_length_a 4.920
_cell_length_b 4.920
_cell_length_c 4.920
_cell_angle_alpha 90.00
_cell_angle_beta 90.00
_cell_angle_gamma 90.00
loop_
_atom_site_label
_atom_site_fract_x
_atom_site_fract_y
_atom_site_fract_z
_atom_site_occupancy
Pd1 0.000 0.000 0.500 1
W1 0.000 0.000 0.000 1
I1 0.500 0.500 0.500 1
```

***

arrangement b is the most stable structure; the next one sits 41.1 kJ/mol of atoms above it.

***

Arrangement a

DFT (PBE) results for crystalline Y2PdI at its relaxed geometry.

- V (Å³ per cell) = 343.7

Geometry as CIF:
```
data_Y2PdI
_chemical_formula_sum 'Y6 Pd3 I3'
_symmetry_space_group_name_H-M 'R -3 m'
_symmetry_Int_Tables_number 166
_symmetry_space_group_name_Hall '-R 3 2"'
_cell_length_a 3.5738
_cell_length_b 3.5738
_cell_length_c 31.0769
_cell_angle_alpha 90.00
_cell_angle_beta 90.00
_cell_angle_gamma 120.00
loop_
_atom_site_label
_atom_site_fract_x
_atom_site_fract_y
_atom_site_fract_z
_atom_site_occupancy
Y1 0.0000 0.0000 0.0848 1
Pd1 0.0000 0.0000 0.0000 1
I1 0.0000 0.0000 0.5000 1
```

***

Arrangement b

DFT (PBE) results for crystalline Y2PdI at its relaxed geometry.

- V (Å³ per cell) = 405.0

Geometry as CIF:
```
data_Y2PdI
_chemical_formula_sum 'Y8 Pd4 I4'
_symmetry_space_group_name_H-M 'F m -3 m'
_symmetry_Int_Tables_number 225
_symmetry_space_group_name_Hall '-F 4 2 3'
_cell_length_a 7.399
_cell_length_b 7.399
_cell_length_c 7.399
_cell_angle_alpha 90.00
_cell_angle_beta 90.00
_cell_angle_gamma 90.00
loop_
_atom_site_label
_atom_site_fract_x
_atom_site_fract_y
_atom_site_fract_z
_atom_site_occupancy
Y1 0.250 0.250 0.250 1
Pd1 0.000 0.000 0.000 1
I1 0.000 0.000 0.500 1
```

***

arrangement b is the most stable structure; the next one sits 32.8 kJ/mol of atoms above it.

***

Arrangement a

DFT (PBE) results for crystalline Y2PdI at its relaxed geometry.

- V (Å³ per cell) = 464.9

Geometry as CIF:
```
data_Y2PdI
_chemical_formula_sum 'Y8 Pd4 I4'
_symmetry_space_group_name_H-M 'I -4 2 d'
_symmetry_Int_Tables_number 122
_symmetry_space_group_name_Hall 'I -4 2bw'
_cell_length_a 7.876
_cell_length_b 7.876
_cell_length_c 7.495
_cell_angle_alpha 90.00
_cell_angle_beta 90.00
_cell_angle_gamma 90.00
loop_
_atom_site_label
_atom_site_fract_x
_atom_site_fract_y
_atom_site_fract_z
_atom_site_occupancy
Y1 0.214 0.250 0.125 1
Pd1 0.000 0.000 0.000 1
I1 0.000 0.000 0.500 1
```

***

Arrangement b

DFT (PBE) results for crystalline Y2PdI at its relaxed geometry.

- V (Å³ per cell) = 355.1

Geometry as CIF:
```
data_Y2PdI
_chemical_formula_sum 'Y6 Pd3 I3'
_symmetry_space_group_name_H-M 'R 3 m'
_symmetry_Int_Tables_number 160
_symmetry_space_group_name_Hall 'R 3 -2"'
_cell_length_a 4.1477
_cell_length_b 4.1477
_cell_length_c 23.8338
_cell_angle_alpha 90.00
_cell_angle_beta 90.00
_cell_angle_gamma 120.00
loop_
_atom_site_label
_atom_site_fract_x
_atom_site_fract_y
_atom_site_fract_z
_atom_site_occupancy
Y1 0.0000 0.0000 0.0000 1
Y2 0.0000 0.0000 0.2095 1
Pd1 0.0000 0.0000 0.6048 1
I1 0.0000 0.0000 0.7736 1
```

***

arrangement b is the most stable structure; the next one sits 33.8 kJ/mol of atoms above it.